Entry 1:
An optimized crystal structure of Sr3Hg8Bi3. Source: the Alexandria database, functional GGA-PBE.

abc: 4.7815 9.7638 9.7638
angles: 76.08 75.83 75.83
Atoms (fractional coordinates):
Sr: 0.5000 0.5000 0.5000
Sr: 0.8083 0.1917 0.1917
Sr: 0.1917 0.8083 0.8083
Hg: 0.6513 0.0740 0.6233
Hg: 0.3487 0.9260 0.3767
Hg: 0.6513 0.6233 0.0740
Hg: 0.3487 0.3767 0.9260
Hg: 0.8362 0.7854 0.5423
Hg: 0.1638 0.2146 0.4577
Hg: 0.8362 0.5423 0.7854
Hg: 0.1638 0.4577 0.2146
Bi: 0.5000 0.0000 0.0000
Bi: 0.0000 0.7953 0.2047
Bi: 0.0000 0.2047 0.7953

The value obtained for the magnetization is 0.000 μB per atom. The calculation puts the mass density at 9.85 g cm⁻³. The total DFT energy (no corrections) comes out at -1.707 eV per atom. The calculated formation energy is -0.34 eV per atom.

=====

Entry 2:
An optimized crystal structure of Li2CeTmAu4. Source: the Alexandria database, functional GGA-PBE.

abc: 4.6049 4.6049 9.4295
angles: 75.87 75.87 60.00
Atoms (fractional coordinates):
Li: 0.7555 0.7555 0.7335
Li: 0.2445 0.2445 0.2665
Ce: 0.0000 0.0000 0.0000
Tm: 0.5000 0.5000 0.5000
Au: 0.3917 0.3917 0.8250
Au: 0.8843 0.8843 0.3470
Au: 0.1157 0.1157 0.6530
Au: 0.6083 0.6083 0.1750

The value obtained for the magnetization is 0.117 μB per atom. The calculation puts the mass density at 11.10 g cm⁻³. The total DFT energy (no corrections) comes out at -4.085 eV per atom. The calculated formation energy is -0.67 eV per atom.